Entry 1:
Entry from Alexandria via LeMat-Bulk: a relaxed Hf2Nb2Hg crystal (PBE-GGA).

Results
The relative energy among the computed polymorphs is 0 meV/atom. The value obtained for the volume is 21.1 Å³ per atom. The density of states at the Fermi level is 3.93 states/eV per cell. The calculation puts the formation energy at 0.180 eV per atom. The calculation puts the spin magnetization at 0.00 μB per cell.

abc: 7.3842 7.3842 3.8633
angles: 90.00 90.00 90.00
Fractional coordinates of all 10 atoms:
Nb 0.3737 0.8737 0.0000
Nb 0.8737 0.6263 0.0000
Nb 0.6263 0.1263 0.0000
Nb 0.1263 0.3737 0.0000
Hf 0.1701 0.6701 0.5000
Hf 0.6701 0.8299 0.5000
Hf 0.8299 0.3299 0.5000
Hf 0.3299 0.1701 0.5000
Hg 0.0000 0.0000 0.0000
Hg 0.5000 0.5000 0.0000


Entry 2:
Entry from Alexandria via LeMat-Bulk: a relaxed Ti5Zn4Co crystal (PBE-GGA).

Results
The value obtained for the volume is 15.0 Å³ per atom. The density of states at the Fermi level is 6.84 states/eV per cell. The calculation puts the formation energy at -0.213 eV per atom. The calculation puts the spin magnetization at 0.23 μB per cell.

abc: 3.0717 3.0717 15.9334
angles: 90.00 90.00 90.00
Fractional coordinates of all 10 atoms:
Ti 0.5000 0.5000 0.0893
Ti 0.5000 0.5000 0.2946
Ti 0.5000 0.5000 0.5000
Ti 0.5000 0.5000 0.7054
Ti 0.5000 0.5000 0.9107
Zn 0.0000 0.0000 0.1922
Zn 0.0000 0.0000 0.3975
Zn 0.0000 0.0000 0.6025
Zn 0.0000 0.0000 0.8078
Co 0.0000 0.0000 0.0000


Entry 3:
Entry from Alexandria via LeMat-Bulk: a relaxed Nd2Dy5TmSc crystal (PBE-GGA).

Results
The value obtained for the volume is 32.0 Å³ per atom. The density of states at the Fermi level is 25.80 states/eV per cell. The calculation puts the formation energy at 0.152 eV per atom. The calculation puts the spin magnetization at 0.00 μB per cell.

abc: 5.5287 10.4441 10.3422
angles: 90.00 90.00 105.35
Fractional coordinates of all 18 atoms:
Nd 0.8869 0.7738 0.8133
Nd 0.1155 0.2309 0.7356
Nd 0.1131 0.2262 0.3133
Nd 0.8845 0.7691 0.2356
Dy 0.3730 0.7460 0.0197
Dy 0.7262 0.4523 0.8212
Dy 0.4837 0.9673 0.7421
Dy 0.2986 0.5973 0.7019
Dy 0.9847 0.9693 0.5154
Dy 0.6270 0.2540 0.5197
Dy 0.2738 0.5477 0.3212
Dy 0.5163 0.0327 0.2421
Dy 0.7014 0.4027 0.2019
Dy 0.0153 0.0307 0.0154
Tm 0.5941 0.1881 0.9599
Tm 0.4059 0.8119 0.4599
Sc 0.8053 0.6107 0.5149
Sc 0.1947 0.3893 0.0149